CdSiRhCl after structural relaxation. Source: Alexandria, functional GGA-PBE.

abc: 4.7758 3.0490 11.5257
angles: 90.00 110.42 90.00
Fractional coordinates of all 8 atoms:
1 Cl 0.7264 0.0000 0.4001
2 Rh 0.9317 0.5000 0.1362
3 Si 0.0573 0.0000 0.2971
4 Cl 0.7264 0.5000 0.9001
5 Cd 0.4055 0.5000 0.6039
6 Cd 0.4055 0.0000 0.1039
7 Si 0.0573 0.5000 0.7971
8 Rh 0.9317 0.0000 0.6362

Properties
Calculated total energy: -4.099 eV/atom
Mass density: 5.9 g cm⁻³
Space-group type: Cm
Spin magnetization: 0.0 μB per formula unit
Crystal system: monoclinic

TlIn6Bi4 after structural relaxation. Source: Alexandria, functional GGA-PBE.

abc: 3.5133 10.6529 10.6529
angles: 120.00 90.00 90.00
Fractional coordinates of all 11 atoms:
1 Bi 0.5000 0.8261 0.6521
2 In 0.0000 0.5230 0.4770
3 In 0.0000 0.5230 0.0461
4 Bi 0.0000 0.3333 0.6667
5 Bi 0.5000 0.8261 0.1740
6 In 0.5000 0.1782 0.3564
7 In 0.0000 0.9540 0.4770
8 Tl 0.0000 0.0000 0.0000
9 Bi 0.5000 0.3479 0.1740
10 In 0.5000 0.1782 0.8218
11 In 0.5000 0.6436 0.8218

Properties
Mass density: 8.3 g cm⁻³
Space-group type: P-6m2
Energy of formation: 43 meV per atom
Spin magnetization: 0.0 μB per formula unit
Crystal system: hexagonal

NaSr2H2 after structural relaxation. Source: Alexandria, functional GGA-PBE.

abc: 4.2497 4.2497 8.1003
angles: 74.79 74.79 90.00
Fractional coordinates of all 5 atoms:
1 H 0.2500 0.7500 0.5000
2 Na 0.0000 0.0000 0.0000
3 Sr 0.3348 0.3348 0.3304
4 Sr 0.6652 0.6652 0.6696
5 H 0.7500 0.2500 0.5000

Properties
Calculated total energy: -2.591 eV/atom
Mass density: 2.4 g cm⁻³
Space-group type: I4/mmm
Spin magnetization: 0.0 μB per formula unit
Crystal system: tetragonal

Bi3IrPb after structural relaxation. Source: Alexandria, functional GGA-PBE.

abc: 5.4311 5.4311 5.4311
angles: 90.00 90.00 90.00
Fractional coordinates of all 5 atoms:
1 Ir 0.0000 0.0000 0.0000
2 Bi 0.0000 0.0000 0.5000
3 Bi 0.5000 0.0000 0.0000
4 Pb 0.5000 0.5000 0.5000
5 Bi 0.0000 0.5000 0.0000

Properties
Mass density: 10.6 g cm⁻³
Space-group type: Pm-3m
Energy of formation: 431 meV per atom
Spin magnetization: 0.0 μB per formula unit
Crystal system: cubic